[1]
The following is a PBE calculation of a relaxed ZrCdMo2 crystal, from Alexandria.

Calculated values
Formation energy from the elements   0.298 eV per atom

Cell lengths 3.414, 4.494, 9.532 Å; angles 90.00, 90.00, 90.00 degrees
Space group Cmmm (No. 65)
Asymmetric unit:
Zr: 0.000 0.000 0.000 (multiplicity 2)
Cd: 0.000 0.000 0.500 (multiplicity 2)
Mo: 0.000 0.500 0.249 (multiplicity 4)

***

[2]
The following is a PBE calculation of a relaxed Fe2Si2Sn crystal, from Alexandria.

Calculated values
Raw total energy   -6.34 eV/atom

Cell lengths 6.923, 6.923, 2.805 Å; angles 90.00, 90.00, 90.00 degrees
Space group P4/mbm (No. 127)
Asymmetric unit:
Fe: 0.149 0.351 0.000 (multiplicity 4)
Si: 0.138 0.638 0.500 (multiplicity 4)
Sn: 0.000 0.000 0.000 (multiplicity 2)

***

[3]
The following is a PBE calculation of a relaxed Pm6Nd3Y2Tm crystal, from Alexandria.

Calculated values
Formation energy from the elements   0.015 eV per atom

Cell lengths 6.301, 10.915, 12.010 Å; angles 90.00, 100.06, 90.00 degrees
Space group C2/m (No. 12)
Asymmetric unit:
Pm: 0.248 0.166 0.246 (multiplicity 8)
Pm: 0.250 0.000 0.754 (multiplicity 4)
Nd: 0.000 0.167 0.500 (multiplicity 4)
Nd: 0.000 0.500 0.500 (multiplicity 2)
Y: 0.000 0.333 0.000 (multiplicity 4)
Tm: 0.000 0.000 0.000 (multiplicity 2)

***

[4]
The following is a PBE calculation of a relaxed Er5BiSb2 crystal, from Alexandria.

Calculated values
Raw total energy   -4.82 eV/atom

Cell lengths 6.046, 12.314, 13.828 Å; angles 90.00, 90.00, 90.00 degrees
Space group Cmcm (No. 63)
Asymmetric unit:
Er: 0.000 0.059 0.107 (multiplicity 8)
Er: 0.000 0.354 0.750 (multiplicity 4)
Er: 0.000 0.376 0.056 (multiplicity 8)
Bi: 0.000 0.251 0.250 (multiplicity 4)
Sb: 0.000 0.185 0.586 (multiplicity 8)

***

[5]
The following is a PBE calculation of a relaxed Ac2Pm2Si3 crystal, from Alexandria.

Calculated values
Raw total energy   -5.32 eV/atom

Cell lengths 13.212, 4.418, 7.659 Å; angles 90.00, 117.54, 90.00 degrees
Space group C2/m (No. 12)
Asymmetric unit:
Ac: 0.122 0.000 0.275 (multiplicity 4)
Pm: 0.156 0.000 0.775 (multiplicity 4)
Si: 0.000 0.500 0.500 (multiplicity 2)
Si: 0.081 0.500 0.951 (multiplicity 4)

***

[6]
The following is a PBE calculation of a relaxed CeGaHg2 crystal, from Alexandria.

Calculated values
Formation energy from the elements   -0.279 eV per atom

Cell lengths 4.498, 4.498, 4.826 Å; angles 90.00, 90.00, 90.00 degrees
Space group P4/mmm (No. 123)
Asymmetric unit:
Ce: 0.000 0.000 0.000 (multiplicity 1)
Ga: 0.500 0.500 0.000 (multiplicity 1)
Hg: 0.000 0.500 0.500 (multiplicity 2)

***

[7]
The following is a PBE calculation of a relaxed TaMn2TcH crystal, from Alexandria.

Calculated values
Energy above the lowest structure with this stoichiometry   0.06 eV/f.u.

Cell lengths 3.729, 3.729, 4.210 Å; angles 90.00, 90.00, 90.00 degrees
Space group P4/mmm (No. 123)
Asymmetric unit:
Ta: 0.000 0.000 0.000 (multiplicity 1)
Mn: 0.000 0.500 0.500 (multiplicity 2)
Tc: 0.500 0.500 0.000 (multiplicity 1)
H: 0.000 0.000 0.500 (multiplicity 1)

***

[8]
The following is a PBE calculation of a relaxed AlCr3 crystal, from Alexandria.

Calculated values
Formation energy from the elements   -0.005 eV per atom

Cell lengths 2.513, 4.049, 4.888 Å; angles 90.00, 100.83, 90.00 degrees
Space group P2/m (No. 10)
Asymmetric unit:
Al: 0.000 0.000 0.000 (multiplicity 1)
Cr: 0.291 0.500 0.750 (multiplicity 2)
Cr: 0.500 0.000 0.500 (multiplicity 1)

***

Listing density for the structures above in their given order: 8984; 7079; 6735; 8315; 6940; 10391; 11055; 6219 kg/m³.